Record 1
An optimized crystal structure of Tb2ErTlO, computed with PBE-GGA.

The uncorrected formation energy is -1.354 eV/atom.

The structure belongs to space group P4/mmm (No. 123); the cell edges are 4.8215, 4.8215 and 4.7206 Å and the angles 90.00°, 90.00° and 90.00°. The asymmetric unit holds Tb at (0.0000, 0.5000, 0.0000), Er at (0.0000, 0.0000, 0.5000), Tl at (0.5000, 0.5000, 0.5000) and O at (0.0000, 0.0000, 0.0000).

Record 2
An optimized crystal structure of Tb4Er2Tl3O2, computed with PBE-GGA.

The uncorrected formation energy is -1.234 eV/atom.

The structure belongs to space group I4/mmm (No. 139); the cell edges are 4.7022, 4.7022 and 24.7381 Å and the angles 90.00°, 90.00° and 90.00°. The asymmetric unit holds Tb at (0.0000, 0.5000, 0.0860), Er at (0.0000, 0.0000, 0.1966), Tl at (0.0000, 0.0000, 0.3226), Tl at (0.0000, 0.0000, 0.5000) and O at (0.0000, 0.0000, 0.1033).

Record 3
An optimized crystal structure of TbEr2UO8, computed with PBE-GGA.

The uncorrected formation energy is -3.297 eV/atom.

The structure belongs to space group Pmmm (No. 47); the cell edges are 3.8529, 5.2897 and 7.5159 Å and the angles 90.00°, 90.00° and 90.00°. The asymmetric unit holds Tb at (0.0000, 0.0000, 0.0000), Er at (0.5000, 0.5000, 0.2499), U at (0.0000, 0.0000, 0.5000), O at (0.0000, 0.2437, 0.2715), O at (0.5000, 0.2341, 0.5000) and O at (0.5000, 0.2547, 0.0000).

Record 4
An optimized crystal structure of TbErUO6, computed with PBE-GGA.

The uncorrected formation energy is -3.365 eV/atom.

The structure belongs to space group P-31c (No. 163); the cell edges are 5.7440, 5.7440 and 9.4316 Å and the angles 90.00°, 90.00° and 120.00°. The asymmetric unit holds Tb at (0.0000, 0.0000, 0.0000), Er at (0.3333, 0.6667, 0.2500), U at (0.3333, 0.6667, 0.7500) and O at (0.0200, 0.3546, 0.6346).

Record 5
An optimized crystal structure of Tb2ErUO8, computed with PBE-GGA.

The uncorrected formation energy is -3.282 eV/atom.

The structure belongs to space group Pmmm (No. 47); the cell edges are 3.8538, 5.3402 and 7.5307 Å and the angles 90.00°, 90.00° and 90.00°. The asymmetric unit holds Tb at (0.0000, 0.0000, 0.2488), Er at (0.5000, 0.5000, 0.0000), U at (0.5000, 0.5000, 0.5000), O at (0.0000, 0.2533, 0.0000), O at (0.0000, 0.2687, 0.5000) and O at (0.5000, 0.2607, 0.2700).

| no. | DOS(E_F) (states/eV per atom) | mass density (Mg/m³) | final energy (Ha/atom) |
| --- | --- | --- | --- |
| 1 | 0.33 | 10.68 | -0.2052 |
| 2 | 0.49 | 9.81 | -0.1945 |
| 3 | 0.66 | 9.32 | -0.3193 |
| 4 | 0.00 | 8.14 | -0.3288 |
| 5 | 0.69 | 9.12 | -0.3190 |